Entry from the Open Quantum Materials Database: a geometry-optimized NaGdRe2O8 structure (PBE-GGA). Values from VASP.

Structure (Quantum ESPRESSO input):
```
&SYSTEM
  ibrav = 0, nat = 12, ntyp = 4
/
ATOMIC_SPECIES
Gd 157.25 Gd.upf
Na 22.99 Na.upf
O 16.00 O.upf
Re 186.21 Re.upf
ATOMIC_POSITIONS crystal
Gd 0.500 0.500 0.000
Na 0.750 0.250 0.500
O 0.329 0.909 0.078
O 0.175 0.590 0.093
O 0.918 0.825 0.415
O 0.091 0.169 0.420
O 0.749 0.671 0.580
O 0.410 0.503 0.585
O 0.497 0.082 0.907
O 0.831 0.251 0.922
Re 0.000 0.000 0.000
Re 0.250 0.750 0.500
CELL_PARAMETERS angstrom
-2.602 2.602 5.591
2.602 -2.602 5.591
2.602 2.602 -5.591
```

Properties
SG	I-4 (82)
raw total energy	-7.8339	eV/atom